Record 1
VASP calculation (PBE) on a geometry-optimized CsInSn structure.

Summary:
DFT formation energy: -0.200 eV per atom
Space-group type: P3m1, No. 156
Volume: 133.2 Å³/cell

Cell lengths 6.3073, 4.9381, 4.9381 Å; angles 120.00, 90.00, 90.00 degrees
With the nearest neighbours (Å) after each atom.
Sites, in units of the cell vectors:
Cs 0.6661 0.6667 0.3333  6 Sn 4.18-4.33, 6 In 4.18-4.32
Sn 0.1824 0.3333 0.6667  3 In 2.86
In 0.1515 0.0000 0.0000  3 Sn 2.86

Record 2
VASP calculation (PBE) on a geometry-optimized CsInSn3 structure.

Summary:
DFT formation energy: 0.278 eV per atom
Space-group type: Pm-3m, No. 221
Relative energy among the computed polymorphs: 0.432 eV/atom
Volume: 201.4 Å³/cell

Cell lengths 5.8621, 5.8621, 5.8621 Å; angles 90.00, 90.00, 90.00 degrees
With the nearest neighbours (Å) after each atom.
Sites, in units of the cell vectors:
Cs 0.5000 0.5000 0.5000  12 Sn 4.15
Sn 0.0000 0.5000 0.0000  2 In 2.93
Sn 0.0000 0.0000 0.5000  2 In 2.93
Sn 0.5000 0.0000 0.0000  2 In 2.93
In 0.0000 0.0000 0.0000  6 Sn 2.93

Record 3
VASP calculation (PBE) on a geometry-optimized CsIn7Sn12 structure.

Summary:
DFT formation energy: 0.115 eV per atom
Space-group type: Im-3, No. 204
Volume: 706.3 Å³/cell

Cell lengths 9.7173, 9.7173, 9.7173 Å; angles 109.47, 109.47, 109.47 degrees
With the nearest neighbours (Å) after each atom.
Sites, in units of the cell vectors:
Cs 0.0000 0.0000 0.0000  12 Sn 4.83, 8 In 4.86
In 0.5000 0.0000 0.5000  8 Sn 3.06-3.36
In 0.5000 0.5000 0.0000  8 Sn 3.06-3.36
In 0.0000 0.5000 0.5000  8 Sn 3.06-3.36
In 0.0000 0.0000 0.5000  6 Sn 3.07
In 0.5000 0.0000 0.0000  6 Sn 3.07
In 0.5000 0.5000 0.5000  6 Sn 3.07
In 0.0000 0.5000 0.0000  6 Sn 3.07
Sn 0.3610 0.2351 0.5961  4 In 3.06-3.36, 1 Sn 3.12
Sn 0.3610 0.7649 0.1259  4 In 3.06-3.36, 1 Sn 3.12
Sn 0.6390 0.7649 0.4039  4 In 3.06-3.36, 1 Sn 3.12
Sn 0.6390 0.2351 0.8741  4 In 3.06-3.36, 1 Sn 3.12
Sn 0.5961 0.3610 0.2351  4 In 3.06-3.36, 1 Sn 3.12
Sn 0.8741 0.6390 0.2351  4 In 3.06-3.36, 1 Sn 3.12
Sn 0.4039 0.6390 0.7649  4 In 3.06-3.36, 1 Sn 3.12
Sn 0.1259 0.3610 0.7649  4 In 3.06-3.36, 1 Sn 3.12
Sn 0.7649 0.1259 0.3610  4 In 3.06-3.36, 1 Sn 3.12
Sn 0.2351 0.8741 0.6390  4 In 3.06-3.36, 1 Sn 3.12
Sn 0.2351 0.5961 0.3610  4 In 3.06-3.36, 1 Sn 3.12
Sn 0.7649 0.4039 0.6390  4 In 3.06-3.36, 1 Sn 3.12

Record 4
VASP calculation (PBE) on a geometry-optimized CsInSn3 structure.

Summary:
DFT formation energy: -0.120 eV per atom
Space-group type: P2_1, No. 4
Relative energy among the computed polymorphs: 0.034 eV/atom
Volume: 365.7 Å³/cell

Cell lengths 6.8242, 8.4914, 6.8778 Å; angles 66.58, 90.00, 90.00 degrees
With the nearest neighbours (Å) after each atom.
Sites, in units of the cell vectors:
Cs 0.4785 0.4219 0.7050  6 Sn 3.64-3.91, 3 In 3.76-4.07
Cs 0.9784 0.9312 0.1963  6 Sn 3.64-3.91, 3 In 3.76-4.07
In 0.1631 0.8120 0.7515  4 Sn 2.94-3.04
In 0.6630 0.5407 0.1501  4 Sn 2.94-3.04
Sn 0.2902 0.3268 0.2495  3 Sn 2.96-2.98, 1 In 3.04
Sn 0.4900 0.8862 0.9936  2 In 2.94-3.00, 2 Sn 2.98-3.21
Sn 0.9564 0.3770 0.4971  3 Sn 2.96-3.21, 1 In 3.00
Sn 0.7901 0.0258 0.6521  3 Sn 2.96-2.98, 1 In 3.04
Sn 0.9901 0.4665 0.9079  2 In 2.94-3.00, 2 Sn 2.98-3.21
Sn 0.4564 0.9756 0.4046  3 Sn 2.96-3.21, 1 In 3.00

Record 5
VASP calculation (PBE) on a geometry-optimized CsIn2Sn structure.

Summary:
DFT formation energy: -0.056 eV per atom
Space-group type: P4/nmm, No. 129
Volume: 300.0 Å³/cell

Cell lengths 5.0598, 5.0598, 11.7193 Å; angles 90.00, 90.00, 90.00 degrees
With the nearest neighbours (Å) after each atom.
Sites, in units of the cell vectors:
Cs 0.5000 0.0000 0.2399  5 In 3.61-3.96, 4 Sn 3.81
Cs 0.0000 0.5000 0.7601  5 In 3.61-3.96, 4 Sn 3.81
In 0.5000 0.0000 0.9323  1 Sn 3.33, 1 Cs 3.61
In 0.0000 0.5000 0.0677  1 Sn 3.33, 1 Cs 3.61
In 0.0000 0.0000 0.5000  4 Sn 3.07
In 0.5000 0.5000 0.5000  4 Sn 3.07
Sn 0.5000 0.0000 0.6483  5 In 3.07-3.33
Sn 0.0000 0.5000 0.3517  5 In 3.07-3.33

Record 6
VASP calculation (PBE) on a geometry-optimized Cs2InSn7 structure.

Summary:
DFT formation energy: -0.151 eV per atom
Space-group type: P-4m2, No. 115
Volume: 357.8 Å³/cell

Cell lengths 5.2356, 5.2356, 13.0516 Å; angles 90.00, 90.00, 90.00 degrees
With the nearest neighbours (Å) after each atom.
Sites, in units of the cell vectors:
Cs 0.5000 0.0000 0.7511  14 Sn 4.04-4.19, 2 In 4.17
Cs 0.0000 0.5000 0.2489  14 Sn 4.04-4.19, 2 In 4.17
In 0.5000 0.5000 0.0000  4 Sn 3.08
Sn 0.0000 0.5000 0.8755  2 In 3.08, 3 Sn 3.08-3.26
Sn 0.5000 0.0000 0.3746  5 Sn 3.09-3.26
Sn 0.5000 0.0000 0.1245  2 In 3.08, 3 Sn 3.08-3.26
Sn 0.0000 0.5000 0.6254  5 Sn 3.09-3.26
Sn 0.0000 0.0000 0.5000  4 Sn 3.09
Sn 0.0000 0.0000 0.0000  4 Sn 3.08
Sn 0.5000 0.5000 0.5000  4 Sn 3.09

Record 7
VASP calculation (PBE) on a geometry-optimized Cs2In2Sn structure.

Summary:
DFT formation energy: -0.047 eV per atom
Space-group type: P4/mbm, No. 127
Relative energy among the computed polymorphs: 0.080 eV/atom
Volume: 414.6 Å³/cell

Cell lengths 7.9687, 7.9687, 6.5289 Å; angles 90.00, 90.00, 90.00 degrees
With the nearest neighbours (Å) after each atom.
Sites, in units of the cell vectors:
Cs 0.1830 0.6830 0.5000  6 In 3.87-4.14, 5 Cs 4.12
Cs 0.6830 0.8170 0.5000  6 In 3.87-4.14, 5 Cs 4.12
Cs 0.8170 0.3170 0.5000  6 In 3.87-4.14, 5 Cs 4.12
Cs 0.3170 0.1830 0.5000  6 In 3.87-4.14, 5 Cs 4.12
Sn 0.0000 0.0000 0.0000  4 In 3.11
Sn 0.5000 0.5000 0.0000  4 In 3.11
In 0.3677 0.8677 0.0000  1 In 2.98, 2 Sn 3.11
In 0.8677 0.6323 0.0000  1 In 2.98, 2 Sn 3.11
In 0.6323 0.1323 0.0000  1 In 2.98, 2 Sn 3.11
In 0.1323 0.3677 0.0000  1 In 2.98, 2 Sn 3.11

Record 8
VASP calculation (PBE) on a geometry-optimized CsInSnTe3 structure.

Summary:
Formation energy (no corrections): -0.52 eV per atom
Space-group type: P2_1/m, No. 11
Volume: 509.8 Å³/cell

Cell lengths 4.7613, 10.0899, 11.3615 Å; angles 110.92, 90.00, 90.00 degrees
With the nearest neighbours (Å) after each atom.
Sites, in units of the cell vectors:
Cs 0.2500 0.2399 0.2492  5 Te 3.83-3.94
Cs 0.7500 0.7601 0.7508  5 Te 3.83-3.94
In 0.2500 0.0910 0.6387  4 Te 2.74-2.96
In 0.7500 0.9090 0.3613  4 Te 2.74-2.96
Sn 0.2500 0.6662 0.1085  3 Te 2.95-3.17
Sn 0.7500 0.3338 0.8915  3 Te 2.95-3.17
Te 0.7500 0.9084 0.1198  1 In 2.74
Te 0.2500 0.0916 0.8802  1 In 2.74
Te 0.2500 0.8007 0.4469  3 In 2.93-2.96
Te 0.7500 0.1993 0.5531  3 In 2.93-2.96
Te 0.7500 0.4909 0.1659  3 Sn 2.95-3.17
Te 0.2500 0.5091 0.8341  3 Sn 2.95-3.17

For each record above, in turn, the calculated calculated total energy values are -2.731, -2.842, -3.288, -3.240, -2.639, -3.398, -2.284, -3.360 eV/atom.
For each record above, in turn, the calculated Fermi-level density of states values are 0.77, 4.82, 12.84, 0.62, 2.14, 5.71, 4.56, 1.73 states/eV/f.u..